No. 1
TlCoRe, optimized geometry, DFT PBE-GGA; magnetic moment = 0.0808 μB per atom; calculated volume = 97 Å³ per cell; E_form = 0.5961 eV/atom; density of states at the Fermi level = 7.8 states/eV/cell
1.0
2.8756 0.0000 0.0000
0.0000 2.8756 0.0000
0.0000 0.0000 11.6738
Tl Co Re
2 2 2
Direct
0.0000 0.0000 0.0000
0.5000 0.5000 0.5000
0.0000 0.0000 0.6796
0.5000 0.5000 0.1796
0.0000 0.0000 0.3023
0.5000 0.5000 0.8023

No. 2
BeSnTe2I, optimized geometry, DFT PBE-GGA; magnetic moment = 0.0000 μB per atom; calculated volume = 139 Å³ per cell; density of states at the Fermi level = 3.5 states/eV/cell; ΔE_f (raw) = 162 meV per atom
1.0
5.1211 0.0000 0.0000
0.0000 5.1211 0.0000
0.0000 0.0000 5.2833
Be Sn Te I
1 1 2 1
Direct
0.0000 0.0000 0.0000
0.5000 0.5000 0.5000
0.0000 0.5000 0.0000
0.5000 0.0000 0.0000
0.0000 0.0000 0.5000

Number 1: energy above the lowest structure with this stoichiometry 0.0 meV per atom. Number 2: energy above the lowest structure with this stoichiometry 0.0 meV per atom.